Sr2ErFe2O6 | Alexandria via LeMat-Bulk | GGA+U | relaxed; magnetic moment = 0.818 μB per atom; total energy = -6.74 eV per atom; symmetry = No. 166
1.0
3.025 1.747 5.706
-3.025 1.747 5.706
0.000 -3.493 5.706
Sr Er Fe O
2 1 2 6
direct
0.201 0.201 0.201
0.799 0.799 0.799
0.000 0.000 0.000
0.426 0.426 0.426
0.574 0.574 0.574
0.226 0.754 0.754
0.246 0.246 0.774
0.246 0.774 0.246
0.754 0.226 0.754
0.754 0.754 0.226
0.774 0.246 0.246